(1)
KBiH: optimized geometry, PBE.

abc: 3.9757 7.8103 10.8521
angles: 90.00 90.00 90.00
Closest atoms and distances in Å follow each position.
Space group P2_12_12_1 (No. 19)
Symmetry-distinct sites (fractional):
K (0.2504, 0.1913, 0.2089) x4  4 H 3.03-3.38
Bi (0.2485, 0.5717, 0.0160) x4  2 H 2.19
H (0.2479, 0.0278, 0.9392) x4  2 Bi 2.19

For the theoretical density, the calculation gives 4.9 Mg/m³. As for the density of states at the Fermi level: 0.077 states/eV per atom. The calculation puts the total energy at -2.80 eV/atom.

(2)
Ca2NiBr: optimized geometry, PBE.

abc: 7.3019 7.3019 7.3019
angles: 90.00 90.00 90.00
Closest atoms and distances in Å follow each position.
Space group F-43m (No. 216)
Symmetry-distinct sites (fractional):
Ca (0.0000, 0.0000, 0.0000) x4  4 Br 3.16, 4 Ca 3.16
Ca (0.2500, 0.2500, 0.2500) x4  4 Ni 3.16, 4 Ca 3.16
Ni (0.0000, 0.0000, 0.5000) x4  4 Br 3.16, 4 Ca 3.16
Br (0.2500, 0.2500, 0.7500) x4  4 Ni 3.16, 4 Ca 3.16

The uncorrected formation energy comes out at 0.07 eV per atom. For the theoretical density, the calculation gives 3.7 Mg/m³. As for the density of states at the Fermi level: 0.407 states/eV per atom. The calculation puts the total energy at -2.79 eV/atom.

(3)
CaZr2Cr: optimized geometry, PBE.

abc: 3.2726 3.2726 30.7565
angles: 90.00 90.00 120.00
Closest atoms and distances in Å follow each position.
Space group R3m (No. 160, hexagonal axes)
Symmetry-distinct sites (fractional):
Ca (0.0000, 0.0000, 0.0000) x3  3 Cr 3.19, 6 Ca 3.27, 3 Zr 3.55
Zr (0.0000, 0.0000, 0.5135) x3  3 Cr 2.86, 3 Zr 3.16
Zr (0.0000, 0.0000, 0.7645) x3  9 Zr 3.16-3.27
Cr (0.0000, 0.0000, 0.2499) x3  3 Zr 2.86, 3 Ca 3.19

For the formation energy, the calculation gives 476 meV/atom. For the theoretical density, the calculation gives 4.8 Mg/m³. As for the density of states at the Fermi level: 1.188 states/eV per atom. The calculation puts the total energy at -6.70 eV/atom.

(4)
ErMg2Pb2: optimized geometry, PBE.

abc: 5.0973 5.0973 12.8405
angles: 90.00 90.00 120.00
Closest atoms and distances in Å follow each position.
Space group P6_3/mmc (No. 194)
Symmetry-distinct sites (fractional):
Er (0.0000, 0.0000, 0.2500) x2  5 Mg 2.94-3.21
Mg (0.0000, 0.0000, 0.0000) x2  2 Er 3.21, 6 Pb 3.32
Mg (0.3333, 0.6667, 0.2500) x2  3 Er 2.94
Pb (0.3333, 0.6667, 0.6205) x4  6 Mg 3.32-3.38, 1 Pb 3.33, 3 Er 3.38

For the formation energy, the calculation gives 28 meV/atom. For the theoretical density, the calculation gives 7.2 Mg/m³. As for the density of states at the Fermi level: 0.674 states/eV per atom. The calculation puts the total energy at -3.01 eV/atom.

(5)
AcCe2Cd: optimized geometry, PBE.

abc: 7.9619 7.9619 7.9619
angles: 90.00 90.00 90.00
Closest atoms and distances in Å follow each position.
Space group Fm-3m (No. 225)
Symmetry-distinct sites (fractional):
Ac (0.0000, 0.0000, 0.0000) x4  8 Ce 3.45
Ce (0.2500, 0.2500, 0.2500) x8  4 Cd 3.45, 4 Ac 3.45
Cd (0.0000, 0.0000, 0.5000) x4  8 Ce 3.45

For the formation energy, the calculation gives 172 meV/atom. For the theoretical density, the calculation gives 8.2 Mg/m³. As for the density of states at the Fermi level: 4.151 states/eV per atom. The calculation puts the total energy at -4.05 eV/atom.

(6)
BaZnSbI2: optimized geometry, PBE.

abc: 6.6799 6.6799 7.6750
angles: 90.00 90.00 90.00
Closest atoms and distances in Å follow each position.
Space group P4/mmm (No. 123)
Symmetry-distinct sites (fractional):
Ba (0.0000, 0.0000, 0.0000) x1  4 I 3.34
Zn (0.5000, 0.5000, 0.5000) x1  4 Sb 4.72, 8 I 5.09
Sb (0.0000, 0.0000, 0.5000) x1  2 Ba 3.84
I (0.0000, 0.5000, 0.0000) x2  2 Ba 3.34

The uncorrected formation energy comes out at -0.16 eV per atom. For the theoretical density, the calculation gives 2.8 Mg/m³. As for the density of states at the Fermi level: 0.619 states/eV per atom. The calculation puts the total energy at -2.24 eV/atom.

(7)
BiTe2Pb2: optimized geometry, PBE.

abc: 8.8426 8.8426 4.1931
angles: 90.00 90.00 90.00
Closest atoms and distances in Å follow each position.
Space group P4/mbm (No. 127)
Symmetry-distinct sites (fractional):
Bi (0.0000, 0.0000, 0.0000) x2  4 Pb 3.39
Te (0.1671, 0.3329, 0.5000) x4  6 Pb 3.15-3.47
Pb (0.1455, 0.6455, 0.0000) x4  6 Te 3.15-3.47, 2 Bi 3.39

The uncorrected formation energy comes out at -0.03 eV per atom. For the theoretical density, the calculation gives 8.9 Mg/m³. As for the density of states at the Fermi level: 0.484 states/eV per atom. The calculation puts the total energy at -3.55 eV/atom.

(8)
Cr2CuAg: optimized geometry, PBE.

abc: 4.9822 8.4690 2.5213
angles: 90.00 90.00 90.00
Closest atoms and distances in Å follow each position.
Space group Cmmm (No. 65)
Symmetry-distinct sites (fractional):
Cr (0.2500, 0.2500, 0.0000) x4  4 Cr 2.49-2.52, 4 Cu 2.76, 4 Ag 2.76
Cu (0.0000, 0.0000, 0.5000) x2  2 Ag 2.49, 2 Cu 2.52, 8 Cr 2.76
Ag (0.0000, 0.5000, 0.5000) x2  2 Cu 2.49, 2 Ag 2.52, 8 Cr 2.76

For the formation energy, the calculation gives 594 meV/atom. For the theoretical density, the calculation gives 8.6 Mg/m³. As for the density of states at the Fermi level: 1.500 states/eV per atom. The calculation puts the total energy at -5.95 eV/atom.

(9)
Ce2ErSn2: optimized geometry, PBE.

abc: 10.0102 4.5425 7.8695
angles: 90.00 129.31 90.00
Closest atoms and distances in Å follow each position.
Space group C2/m (No. 12)
Symmetry-distinct sites (fractional):
Ce (0.0725, 0.0000, 0.4016) x4  1 Ce 2.71
Er (0.0000, 0.5000, 0.0000) x2  6 Sn 3.17-3.41
Sn (0.2163, 0.5000, 0.7976) x4  3 Er 3.17-3.41, 5 Ce 3.20-3.36

For the formation energy, the calculation gives -555 meV/atom. For the theoretical density, the calculation gives 8.2 Mg/m³. As for the density of states at the Fermi level: 1.687 states/eV per atom. The calculation puts the total energy at -5.44 eV/atom.

(10)
Ag2SnPbI: optimized geometry, PBE.

abc: 5.4141 5.4141 5.8761
angles: 90.00 90.00 90.00
Closest atoms and distances in Å follow each position.
Space group P4/mmm (No. 123)
Symmetry-distinct sites (fractional):
Ag (0.0000, 0.5000, 0.0000) x2  2 Pb 2.71
Sn (0.0000, 0.0000, 0.5000) x1  2 Pb 2.94
Pb (0.0000, 0.0000, 0.0000) x1  4 Ag 2.71, 2 Sn 2.94
I (0.5000, 0.5000, 0.5000) x1  4 Sn 3.83, 8 Ag 4.00

The uncorrected formation energy comes out at 0.40 eV per atom. For the theoretical density, the calculation gives 6.4 Mg/m³. As for the density of states at the Fermi level: 0.260 states/eV per atom. The calculation puts the total energy at -2.59 eV/atom.

(11)
Be2AgCl: optimized geometry, PBE.

abc: 2.9591 5.3370 7.4888
angles: 90.00 90.00 90.00
Closest atoms and distances in Å follow each position.
Space group Cmmm (No. 65)
Symmetry-distinct sites (fractional):
Be (0.0000, 0.0000, 0.2412) x4  2 Cl 2.33, 2 Ag 2.44
Ag (0.0000, 0.5000, 0.5000) x2  4 Be 2.44
Cl (0.0000, 0.5000, 0.0000) x2  4 Be 2.33

The uncorrected formation energy comes out at 0.38 eV per atom. For the theoretical density, the calculation gives 4.5 Mg/m³. As for the density of states at the Fermi level: 0.222 states/eV per atom. The calculation puts the total energy at -2.66 eV/atom.

(12)
Cs3NaMn: optimized geometry, PBE.

abc: 7.7029 7.7029 7.7029
angles: 90.00 90.00 90.00
Closest atoms and distances in Å follow each position.
Space group Pm-3m (No. 221)
Symmetry-distinct sites (fractional):
Cs (0.0000, 0.0000, 0.5000) x3  2 Na 3.85
Na (0.0000, 0.0000, 0.0000) x1  6 Cs 3.85
Mn (0.5000, 0.5000, 0.5000) x1  12 Cs 5.45

For the formation energy, the calculation gives 739 meV/atom. For the theoretical density, the calculation gives 1.7 Mg/m³. As for the density of states at the Fermi level: 2.339 states/eV per atom. The calculation puts the total energy at -1.87 eV/atom.

(13)
BaNbH: optimized geometry, PBE.

abc: 3.6119 3.9657 10.3139
angles: 90.00 98.26 90.00
Closest atoms and distances in Å follow each position.
Space group P2_1 (No. 4)
Symmetry-distinct sites (fractional):
Ba (0.1211, 0.0000, 0.1930) x2  1 H 2.63
Nb (0.2665, 0.0982, 0.5391) x2  3 H 2.02-2.06
H (0.2045, 0.4301, 0.3894) x2  3 Nb 2.02-2.06

For the theoretical density, the calculation gives 5.3 Mg/m³. As for the density of states at the Fermi level: 0.928 states/eV per atom. The calculation puts the total energy at -4.95 eV/atom.